# 1
First-principles (GGA-PBEsol) data for an optimized crystal structure of BaAl2, as listed in Alexandria via LeMat-Bulk.

Cell and atoms, written as POSCAR:
```
BaAl2
1.0
-1.457 0.982 4.057
1.191 -6.218 -0.477
6.245 2.184 1.714
Al Ba
4 2
Direct
0.294 0.588 0.147
0.092 0.184 0.912
0.908 0.816 0.088
0.706 0.412 0.853
0.387 0.773 0.674
0.613 0.227 0.326
```

D(E_F) in states/eV per cell: 2.584
Uncorrected energy in eV/atom: -3.617
Magnetization in μB per cell: 0.00
ΔE_f in eV per atom: -0.17
Symmetry: C2/m

***

# 2
First-principles (GGA-PBEsol) data for an optimized crystal structure of Sc2SiP, as listed in Alexandria via LeMat-Bulk.

Cell and atoms, written as POSCAR:
```
Sc2SiP
1.0
3.175 0.000 0.000
0.000 3.175 0.000
0.000 0.000 7.047
Si Sc P
1 2 1
Direct
0.000 0.000 0.547
0.000 0.000 0.931
0.500 0.500 0.311
0.500 0.500 0.710
```

D(E_F) in states/eV per cell: 3.117
Uncorrected energy in eV/atom: -6.666
Magnetization in μB per cell: 0.00
Energy above the lowest structure with this stoichiometry in meV/atom: 465
Uncorrected formation energy in eV/atom: -0.4794
Symmetry: P4mm

***

# 3
First-principles (GGA-PBEsol) data for an optimized crystal structure of MgFeCo2, as listed in Alexandria via LeMat-Bulk.

Cell and atoms, written as POSCAR:
```
MgFeCo2
1.0
-1.158 2.152 -1.492
-3.140 -2.512 -1.185
0.037 1.291 4.580
Co Mg Fe
2 1 1
Direct
0.766 0.766 0.532
0.234 0.234 0.468
0.000 0.500 0.000
0.500 0.000 0.000
```

D(E_F) in states/eV per cell: 3.320
Uncorrected energy in eV/atom: -6.344
Magnetization in μB per cell: 5.32
ΔE_f in eV per atom: 0.19
Symmetry: Immm

***

# 4
First-principles (GGA-PBEsol) data for an optimized crystal structure of Tm15S22, as listed in Alexandria via LeMat-Bulk.

Cell and atoms, written as POSCAR:
```
Tm15S22
1.0
-2.094 2.741 1.586
-6.738 -0.088 -8.743
-9.468 -14.511 8.040
S Tm
22 15
Direct
0.635 0.459 0.271
0.667 0.147 0.334
0.951 0.029 0.902
0.315 0.308 0.630
0.941 0.490 0.882
0.410 0.243 0.820
0.907 0.796 0.813
0.049 0.971 0.098
0.221 0.405 0.442
0.590 0.757 0.180
0.093 0.204 0.187
0.508 0.240 0.016
0.755 0.122 0.509
0.365 0.541 0.729
0.492 0.760 0.984
0.853 0.095 0.705
0.685 0.692 0.370
0.779 0.595 0.558
0.059 0.510 0.118
0.333 0.853 0.666
0.147 0.905 0.295
0.245 0.878 0.491
0.767 0.354 0.534
0.131 0.652 0.262
0.500 0.000 0.000
0.605 0.010 0.211
0.842 0.695 0.684
0.701 0.942 0.403
0.429 0.645 0.859
0.571 0.355 0.141
0.960 0.269 0.921
0.040 0.731 0.079
0.158 0.305 0.316
0.233 0.646 0.466
0.299 0.058 0.597
0.395 0.990 0.789
0.869 0.348 0.738
```

D(E_F) in states/eV per cell: 2.336
Uncorrected energy in eV/atom: -6.707
Magnetization in μB per cell: 0.00
Uncorrected formation energy in eV/atom: -2.1145
Symmetry: C2/m

***

# 5
First-principles (GGA-PBEsol) data for an optimized crystal structure of RbBeOs2I, as listed in Alexandria via LeMat-Bulk.

Cell and atoms, written as POSCAR:
```
RbBeOs2I
1.0
4.885 0.000 0.000
0.000 4.885 0.000
0.000 0.000 6.334
Os Be Rb I
2 1 1 1
Direct
0.000 0.500 0.000
0.500 0.000 0.000
0.500 0.500 0.500
0.000 0.000 0.500
0.000 0.000 0.000
```

D(E_F) in states/eV per cell: 5.496
Uncorrected energy in eV/atom: -3.663
Magnetization in μB per cell: 2.54
Uncorrected formation energy in eV/atom: 2.5820
Symmetry: P4/mmm

***

# 6
First-principles (GGA-PBEsol) data for an optimized crystal structure of RbIrN2, as listed in Alexandria via LeMat-Bulk.

Cell and atoms, written as POSCAR:
```
RbIrN2
1.0
-2.463 -1.104 -1.965
-2.343 -2.029 1.240
-5.243 4.163 1.397
Ir Rb N
1 1 2
Direct
0.500 0.500 0.500
0.000 0.000 0.000
0.869 0.869 0.392
0.131 0.131 0.608
```

D(E_F) in states/eV per cell: 1.420
Uncorrected energy in eV/atom: -6.319
Magnetization in μB per cell: 0.00
Energy above the lowest structure with this stoichiometry in meV/atom: 376
Uncorrected formation energy in eV/atom: 0.6564
Symmetry: R-3m

***

# 7
First-principles (GGA-PBEsol) data for an optimized crystal structure of LiReBr2, as listed in Alexandria via LeMat-Bulk.

Cell and atoms, written as POSCAR:
```
LiReBr2
1.0
-2.234 -0.560 2.855
1.053 -3.511 0.136
5.379 3.629 2.564
Re Li Br
1 1 2
Direct
0.750 0.250 0.500
0.500 0.500 0.000
0.250 0.750 0.500
0.000 0.000 0.000
```

D(E_F) in states/eV per cell: 2.099
Uncorrected energy in eV/atom: -4.189
Magnetization in μB per cell: 3.30
Energy above the lowest structure with this stoichiometry in meV/atom: 315
Uncorrected formation energy in eV/atom: 0.5706
Symmetry: I-4m2

***

# 8
First-principles (GGA-PBEsol) data for an optimized crystal structure of CaTa2Cd, as listed in Alexandria via LeMat-Bulk.

Cell and atoms, written as POSCAR:
```
CaTa2Cd
1.0
2.948 0.060 0.000
-0.627 5.184 0.000
0.000 0.000 5.360
Cd Ta Ca
1 2 1
Direct
0.500 0.000 0.500
0.655 0.759 0.000
0.345 0.241 0.000
0.000 0.500 0.500
```

D(E_F) in states/eV per cell: 3.109
Uncorrected energy in eV/atom: -6.599
Magnetization in μB per cell: 0.00
ΔE_f in eV per atom: 0.51
Symmetry: P2/m